{
  "formula": "Ca3Ag",
  "functional": "SCAN",
  "state": "PBEsol geometry",
  "cell": [[4.8670, -6.4386, 0.0000], [4.8670, 6.4386, 0.0000], [0.0000, 0.0000, 4.2372]],
  "species": ["Ca", "Ca", "Ca", "Ca", "Ca", "Ca", "Ag", "Ag"],
  "fractional_positions": [[0.1115, 0.8885, 0.7500], [0.1772, 0.4359, 0.7500], [0.4359, 0.1772, 0.2500], [0.5641, 0.8228, 0.7500], [0.8228, 0.5641, 0.2500], [0.8885, 0.1115, 0.2500], [0.2739, 0.7261, 0.2500], [0.7261, 0.2739, 0.7500]],
  "formation_energy_ev_per_fu": -0.61
}

=====

{
  "formula": "Ca3Ag",
  "functional": "SCAN",
  "state": "PBEsol geometry",
  "cell": [[3.6985, 0.0000, 0.0000], [0.0000, 3.6985, 0.0000], [0.0000, 0.0000, 9.3483]],
  "species": ["Ca", "Ca", "Ca", "Ag"],
  "fractional_positions": [[0.0000, 0.0000, 0.0000], [0.5000, 0.5000, 0.3116], [0.5000, 0.5000, 0.6884], [0.0000, 0.0000, 0.5000]],
  "formation_energy_ev_per_fu": -0.65
}

=====

Repeat the first record exactly.
{
  "formula": "Ca3Ag",
  "functional": "SCAN",
  "state": "PBEsol geometry",
  "cell": [[4.8670, -6.4386, 0.0000], [4.8670, 6.4386, 0.0000], [0.0000, 0.0000, 4.2372]],
  "species": ["Ca", "Ca", "Ca", "Ca", "Ca", "Ca", "Ag", "Ag"],
  "fractional_positions": [[0.1115, 0.8885, 0.7500], [0.1772, 0.4359, 0.7500], [0.4359, 0.1772, 0.2500], [0.5641, 0.8228, 0.7500], [0.8228, 0.5641, 0.2500], [0.8885, 0.1115, 0.2500], [0.2739, 0.7261, 0.2500], [0.7261, 0.2739, 0.7500]],
  "formation_energy_ev_per_fu": -0.61
}

=====

Repeat the second record exactly.
{
  "formula": "Ca3Ag",
  "functional": "SCAN",
  "state": "PBEsol geometry",
  "cell": [[3.6985, 0.0000, 0.0000], [0.0000, 3.6985, 0.0000], [0.0000, 0.0000, 9.3483]],
  "species": ["Ca", "Ca", "Ca", "Ag"],
  "fractional_positions": [[0.0000, 0.0000, 0.0000], [0.5000, 0.5000, 0.3116], [0.5000, 0.5000, 0.6884], [0.0000, 0.0000, 0.5000]],
  "formation_energy_ev_per_fu": -0.65
}